[1]
! SmZnSi | OQMD via LeMat-Bulk | PBE-GGA | relaxed; values from VASP
! Electronic total energy, eV per atom: -3.736
! Volume, Å³ per atom: 25.3
&SYSTEM
  ibrav = 0, nat = 3, ntyp = 3
/
ATOMIC_SPECIES
Sm 150.36 Sm.upf
Zn 65.41 Zn.upf
Si 28.09 Si.upf
CELL_PARAMETERS angstrom
0.000 3.362 3.362
3.362 0.000 3.362
3.362 3.362 0.000
ATOMIC_POSITIONS angstrom
Sm 0.000 0.000 0.000
Zn 1.681 1.681 1.681
Si 5.043 5.043 5.043



[2]
! SmZnSi | OQMD via LeMat-Bulk | PBE-GGA | relaxed; values from VASP
! Electronic total energy, eV per atom: -4.080
! Volume, Å³ per atom: 21.4
&SYSTEM
  ibrav = 0, nat = 3, ntyp = 3
/
ATOMIC_SPECIES
Sm 150.36 Sm.upf
Zn 65.41 Zn.upf
Si 28.09 Si.upf
CELL_PARAMETERS angstrom
0.000 3.179 3.179
3.179 0.000 3.179
3.179 3.179 0.000
ATOMIC_POSITIONS angstrom
Sm 0.000 0.000 0.000
Zn 4.768 4.768 4.768
Si 3.179 3.179 3.179



[3]
! Sm2ZnSi3 | OQMD via LeMat-Bulk | PBE-GGA | relaxed; values from VASP
! Electronic total energy, eV per atom: -5.164
! Volume, Å³ per atom: 20.0
&SYSTEM
  ibrav = 0, nat = 6, ntyp = 3
/
ATOMIC_SPECIES
Sm 150.36 Sm.upf
Zn 65.41 Zn.upf
Si 28.09 Si.upf
CELL_PARAMETERS angstrom
4.137 0.000 0.000
0.000 4.143 0.000
0.000 0.000 7.010
ATOMIC_POSITIONS angstrom
Sm 0.000 0.000 0.000
Sm 0.000 2.071 3.406
Zn 2.069 2.071 5.769
Si 2.069 0.000 2.278
Si 2.069 0.000 4.623
Si 2.069 2.071 1.132



[4]
! SmZrSi | OQMD via LeMat-Bulk | PBE-GGA | relaxed; values from VASP
! Electronic total energy, eV per atom: -6.546
! Volume, Å³ per atom: 24.8
&SYSTEM
  ibrav = 0, nat = 3, ntyp = 3
/
ATOMIC_SPECIES
Sm 150.36 Sm.upf
Zr 91.22 Zr.upf
Si 28.09 Si.upf
CELL_PARAMETERS angstrom
0.000 3.339 3.339
3.339 0.000 3.339
3.339 3.339 0.000
ATOMIC_POSITIONS angstrom
Sm 0.000 0.000 0.000
Zr 3.339 3.339 3.339
Si 1.670 1.670 1.670



[5]
! Sm2ZrSi2 | OQMD via LeMat-Bulk | PBE-GGA | relaxed; values from VASP
! Electronic total energy, eV per atom: -6.424
! Volume, Å³ per atom: 23.1
&SYSTEM
  ibrav = 0, nat = 10, ntyp = 3
/
ATOMIC_SPECIES
Sm 150.36 Sm.upf
Zr 91.22 Zr.upf
Si 28.09 Si.upf
CELL_PARAMETERS angstrom
7.364 0.000 0.000
0.000 7.364 0.000
0.000 0.000 4.259
ATOMIC_POSITIONS angstrom
Sm 1.304 2.378 0.000
Sm 2.378 6.060 0.000
Sm 4.986 1.304 0.000
Sm 6.060 4.986 0.000
Zr 0.000 0.000 2.130
Zr 3.682 3.682 2.130
Si 0.896 4.578 2.130
Si 2.786 0.896 2.130
Si 4.578 6.468 2.130
Si 6.468 2.786 2.130



[6]
! SmZr2Si2 | OQMD via LeMat-Bulk | PBE-GGA | relaxed; values from VASP
! Electronic total energy, eV per atom: -7.227
! Volume, Å³ per atom: 20.3
&SYSTEM
  ibrav = 0, nat = 10, ntyp = 3
/
ATOMIC_SPECIES
Sm 150.36 Sm.upf
Zr 91.22 Zr.upf
Si 28.09 Si.upf
CELL_PARAMETERS angstrom
7.465 0.000 0.000
0.000 7.465 0.000
0.000 0.000 3.635
ATOMIC_POSITIONS angstrom
Sm 0.000 0.000 0.000
Sm 3.732 3.732 0.000
Zr 1.286 2.446 1.818
Zr 2.446 6.179 1.818
Zr 5.018 1.286 1.818
Zr 6.179 5.018 1.818
Si 0.876 4.609 0.000
Si 2.856 0.876 0.000
Si 4.609 6.588 0.000
Si 6.588 2.856 0.000



[7]
! SmZrSi | OQMD via LeMat-Bulk | PBE-GGA | relaxed; values from VASP
! Electronic total energy, eV per atom: -5.450
! Volume, Å³ per atom: 27.5
&SYSTEM
  ibrav = 0, nat = 3, ntyp = 3
/
ATOMIC_SPECIES
Sm 150.36 Sm.upf
Zr 91.22 Zr.upf
Si 28.09 Si.upf
CELL_PARAMETERS angstrom
0.000 3.456 3.456
3.456 0.000 3.456
3.456 3.456 0.000
ATOMIC_POSITIONS angstrom
Sm 0.000 0.000 0.000
Zr 1.728 1.728 1.728
Si 5.183 5.183 5.183



[8]
! Tb3Si4Sn4 | OQMD via LeMat-Bulk | PBE-GGA | relaxed; values from VASP
! Electronic total energy, eV per atom: -4.839
! Volume, Å³ per atom: 23.7
&SYSTEM
  ibrav = 0, nat = 11, ntyp = 3
/
ATOMIC_SPECIES
Tb 158.93 Tb.upf
Si 28.09 Si.upf
Sn 118.71 Sn.upf
CELL_PARAMETERS angstrom
-2.249 3.506 8.258
2.249 -3.506 8.258
2.249 3.506 -8.258
ATOMIC_POSITIONS angstrom
Tb 0.000 0.000 0.000
Tb 2.249 0.000 6.112
Tb 0.000 3.506 2.146
Si 2.249 1.236 -2.507
Si 2.249 1.236 2.507
Si 0.000 2.271 5.750
Si 0.000 2.271 10.765
Sn 0.000 0.000 3.631
Sn 2.249 2.123 0.000
Sn 0.000 1.384 8.258
Sn 0.000 0.000 12.884



[9]
! Si2Tc2Sn | OQMD via LeMat-Bulk | PBE-GGA | relaxed; values from VASP
! Electronic total energy, eV per atom: -7.431
! Volume, Å³ per atom: 15.7
&SYSTEM
  ibrav = 0, nat = 5, ntyp = 3
/
ATOMIC_SPECIES
Si 28.09 Si.upf
Tc 98.00 Tc.upf
Sn 118.71 Sn.upf
CELL_PARAMETERS angstrom
-1.734 1.734 6.539
1.734 -1.734 6.539
1.734 1.734 -6.539
ATOMIC_POSITIONS angstrom
Si 1.734 0.000 3.270
Si 0.000 1.734 3.270
Tc 0.000 0.000 1.513
Tc 0.000 0.000 11.565
Sn 0.000 0.000 6.539



[10]
! SiTcSn | OQMD via LeMat-Bulk | PBE-GGA | relaxed; values from VASP
! Electronic total energy, eV per atom: -6.328
! Volume, Å³ per atom: 19.1
! E above lowest polymorph, meV per atom: 0.0
&SYSTEM
  ibrav = 0, nat = 3, ntyp = 3
/
ATOMIC_SPECIES
Si 28.09 Si.upf
Tc 98.00 Tc.upf
Sn 118.71 Sn.upf
CELL_PARAMETERS angstrom
0.000 3.063 3.063
3.063 0.000 3.063
3.063 3.063 0.000
ATOMIC_POSITIONS angstrom
Si 0.000 0.000 0.000
Tc 1.531 1.531 1.531
Sn 3.063 3.063 3.063



[11]
! Zr2SiSnTe2 | OQMD via LeMat-Bulk | PBE-GGA | relaxed; values from VASP
! Electronic total energy, eV per atom: -6.182
! Volume, Å³ per atom: 22.8
&SYSTEM
  ibrav = 0, nat = 6, ntyp = 4
/
ATOMIC_SPECIES
Zr 91.22 Zr.upf
Si 28.09 Si.upf
Sn 118.71 Sn.upf
Te 127.60 Te.upf
CELL_PARAMETERS angstrom
3.950 0.000 0.000
0.000 3.950 0.000
0.000 0.000 8.773
ATOMIC_POSITIONS angstrom
Zr 0.000 1.975 2.157
Zr 1.975 0.000 6.616
Si 0.000 0.000 4.387
Sn 1.975 1.975 4.387
Te 0.000 1.975 7.725
Te 1.975 0.000 1.048



[12]
! Tm2SiSn | OQMD via LeMat-Bulk | PBE-GGA | relaxed; values from VASP
! Electronic total energy, eV per atom: -5.255
! Volume, Å³ per atom: 23.3
&SYSTEM
  ibrav = 0, nat = 4, ntyp = 3
/
ATOMIC_SPECIES
Tm 168.93 Tm.upf
Si 28.09 Si.upf
Sn 118.71 Sn.upf
CELL_PARAMETERS angstrom
4.079 0.000 0.000
0.000 2.097 5.447
0.000 -2.097 5.447
ATOMIC_POSITIONS angstrom
Tm 0.000 0.000 0.000
Tm 2.039 0.000 3.060
Si 0.000 0.000 8.011
Sn 2.039 0.000 6.110



[13]
! Tm3Si4Sn4 | OQMD via LeMat-Bulk | PBE-GGA | relaxed; values from VASP
! Electronic total energy, eV per atom: -4.744
! Volume, Å³ per atom: 23.4
&SYSTEM
  ibrav = 0, nat = 11, ntyp = 3
/
ATOMIC_SPECIES
Tm 168.93 Tm.upf
Si 28.09 Si.upf
Sn 118.71 Sn.upf
CELL_PARAMETERS angstrom
-1.989 3.480 9.317
1.989 -3.480 9.317
1.989 3.480 -9.317
ATOMIC_POSITIONS angstrom
Tm 0.000 0.000 0.000
Tm 1.989 0.000 7.023
Tm 0.000 3.480 2.295
Si 1.989 1.211 -2.550
Si 1.989 1.211 2.550
Si 0.000 2.269 6.767
Si 0.000 2.269 11.868
Sn 0.000 0.000 4.350
Sn 1.989 2.132 0.000
Sn 0.000 1.348 9.317
Sn 0.000 0.000 14.284



[14]
! ZnSiSn2 | OQMD via LeMat-Bulk | PBE-GGA | relaxed; values from VASP
! Electronic total energy, eV per atom: -3.302
! Volume, Å³ per atom: 22.2
&SYSTEM
  ibrav = 0, nat = 4, ntyp = 3
/
ATOMIC_SPECIES
Zn 65.41 Zn.upf
Si 28.09 Si.upf
Sn 118.71 Sn.upf
CELL_PARAMETERS angstrom
0.000 3.543 3.543
3.543 0.000 3.543
3.543 3.543 0.000
ATOMIC_POSITIONS angstrom
Zn 0.000 0.000 0.000
Si 5.315 5.315 5.315
Sn 1.772 1.772 1.772
Sn 3.543 3.543 3.543



[15]
! ZnSiSn | OQMD via LeMat-Bulk | PBE-GGA | relaxed; values from VASP
! Electronic total energy, eV per atom: -3.134
! Volume, Å³ per atom: 23.5
&SYSTEM
  ibrav = 0, nat = 3, ntyp = 3
/
ATOMIC_SPECIES
Zn 65.41 Zn.upf
Si 28.09 Si.upf
Sn 118.71 Sn.upf
CELL_PARAMETERS angstrom
0.000 3.278 3.278
3.278 0.000 3.278
3.278 3.278 0.000
ATOMIC_POSITIONS angstrom
Zn 0.000 0.000 0.000
Si 3.278 3.278 3.278
Sn 4.916 4.916 4.916



[16]
! ZnSiSn | OQMD via LeMat-Bulk | PBE-GGA | relaxed; values from VASP
! Electronic total energy, eV per atom: -3.277
! Volume, Å³ per atom: 22.3
&SYSTEM
  ibrav = 0, nat = 3, ntyp = 3
/
ATOMIC_SPECIES
Zn 65.41 Zn.upf
Si 28.09 Si.upf
Sn 118.71 Sn.upf
CELL_PARAMETERS angstrom
0.000 3.223 3.223
3.223 0.000 3.223
3.223 3.223 0.000
ATOMIC_POSITIONS angstrom
Zn 0.000 0.000 0.000
Si 4.834 4.834 4.834
Sn 3.223 3.223 3.223



[17]
! ZnSi2Sn | OQMD via LeMat-Bulk | PBE-GGA | relaxed; values from VASP
! Electronic total energy, eV per atom: -3.549
! Volume, Å³ per atom: 18.7
&SYSTEM
  ibrav = 0, nat = 4, ntyp = 3
/
ATOMIC_SPECIES
Zn 65.41 Zn.upf
Si 28.09 Si.upf
Sn 118.71 Sn.upf
CELL_PARAMETERS angstrom
0.000 3.342 3.342
3.342 0.000 3.342
3.342 3.342 0.000
ATOMIC_POSITIONS angstrom
Zn 0.000 0.000 0.000
Si 1.671 1.671 1.671
Si 3.342 3.342 3.342
Sn 5.013 5.013 5.013



[18]
! SrTbSi | OQMD via LeMat-Bulk | PBE-GGA | relaxed; values from VASP
! Electronic total energy, eV per atom: -4.187
! Volume, Å³ per atom: 31.1
&SYSTEM
  ibrav = 0, nat = 3, ntyp = 3
/
ATOMIC_SPECIES
Sr 87.62 Sr.upf
Tb 158.93 Tb.upf
Si 28.09 Si.upf
CELL_PARAMETERS angstrom
0.000 3.598 3.598
3.598 0.000 3.598
3.598 3.598 0.000
ATOMIC_POSITIONS angstrom
Sr 0.000 0.000 0.000
Tb 3.598 3.598 3.598
Si 1.799 1.799 1.799



[19]
! SrSiTc | OQMD via LeMat-Bulk | PBE-GGA | relaxed; values from VASP
! Electronic total energy, eV per atom: -5.229
! Volume, Å³ per atom: 22.6
! E above lowest polymorph, meV per atom: 0.0
&SYSTEM
  ibrav = 0, nat = 3, ntyp = 3
/
ATOMIC_SPECIES
Sr 87.62 Sr.upf
Si 28.09 Si.upf
Tc 98.00 Tc.upf
CELL_PARAMETERS angstrom
0.000 3.237 3.237
3.237 0.000 3.237
3.237 3.237 0.000
ATOMIC_POSITIONS angstrom
Sr 0.000 0.000 0.000
Si 1.618 1.618 1.618
Tc 3.237 3.237 3.237



[20]
! SrTmSi2 | OQMD via LeMat-Bulk | PBE-GGA | relaxed; values from VASP
! Electronic total energy, eV per atom: -4.772
! Volume, Å³ per atom: 23.9
&SYSTEM
  ibrav = 0, nat = 4, ntyp = 3
/
ATOMIC_SPECIES
Sr 87.62 Sr.upf
Tm 168.93 Tm.upf
Si 28.09 Si.upf
CELL_PARAMETERS angstrom
3.883 0.000 0.000
0.000 2.217 5.560
0.000 -2.217 5.560
ATOMIC_POSITIONS angstrom
Sr 0.000 0.000 0.000
Tm 1.941 0.000 8.002
Si 0.000 0.000 3.080
Si 1.941 0.000 4.609



[21]
! SrTmSi | OQMD via LeMat-Bulk | PBE-GGA | relaxed; values from VASP
! Electronic total energy, eV per atom: -4.104
! Volume, Å³ per atom: 30.2
&SYSTEM
  ibrav = 0, nat = 3, ntyp = 3
/
ATOMIC_SPECIES
Sr 87.62 Sr.upf
Tm 168.93 Tm.upf
Si 28.09 Si.upf
CELL_PARAMETERS angstrom
0.000 3.563 3.563
3.563 0.000 3.563
3.563 3.563 0.000
ATOMIC_POSITIONS angstrom
Sr 0.000 0.000 0.000
Tm 3.563 3.563 3.563
Si 1.781 1.781 1.781



[22]
! Sr2YZn4Si4 | OQMD via LeMat-Bulk | PBE-GGA | relaxed; values from VASP
! Electronic total energy, eV per atom: -3.751
! Volume, Å³ per atom: 20.3
&SYSTEM
  ibrav = 0, nat = 11, ntyp = 4
/
ATOMIC_SPECIES
Sr 87.62 Sr.upf
Y 88.91 Y.upf
Zn 65.41 Zn.upf
Si 28.09 Si.upf
CELL_PARAMETERS angstrom
-2.103 2.117 12.573
2.103 -2.117 12.573
2.103 2.117 -12.573
ATOMIC_POSITIONS angstrom
Sr 0.000 0.000 3.666
Sr 0.000 0.000 21.481
Y 2.103 0.000 0.000
Zn 2.103 0.000 6.288
Zn 0.000 0.000 10.222
Zn 0.000 0.000 14.925
Zn 0.000 2.117 6.285
Si 0.000 0.000 7.741
Si 2.103 0.000 11.415
Si 0.000 2.117 1.158
Si 0.000 0.000 17.406



[23]
! SrZnSi | OQMD via LeMat-Bulk | PBE-GGA | relaxed; values from VASP
! Electronic total energy, eV per atom: -2.661
! Volume, Å³ per atom: 25.1
&SYSTEM
  ibrav = 0, nat = 9, ntyp = 3
/
ATOMIC_SPECIES
Sr 87.62 Sr.upf
Zn 65.41 Zn.upf
Si 28.09 Si.upf
CELL_PARAMETERS angstrom
8.267 0.000 0.000
-4.133 7.159 0.000
0.000 0.000 3.809
ATOMIC_POSITIONS angstrom
Sr -1.177 2.039 0.000
Sr 2.354 0.000 0.000
Sr 2.957 5.121 0.000
Zn -2.529 4.380 1.905
Zn 1.605 2.779 1.905
Zn 5.058 0.000 1.905
Si 0.000 0.000 1.905
Si 0.000 4.773 0.000
Si 4.133 2.386 0.000



[24]
! SrZnSi | OQMD via LeMat-Bulk | PBE-GGA | relaxed; values from VASP
! Electronic total energy, eV per atom: -3.058
! Volume, Å³ per atom: 22.7
&SYSTEM
  ibrav = 0, nat = 9, ntyp = 3
/
ATOMIC_SPECIES
Sr 87.62 Sr.upf
Zn 65.41 Zn.upf
Si 28.09 Si.upf
CELL_PARAMETERS angstrom
7.178 0.000 0.000
-3.589 6.216 0.000
0.000 0.000 4.574
ATOMIC_POSITIONS angstrom
Sr -2.059 3.565 0.000
Sr 1.530 2.650 0.000
Sr 4.117 0.000 0.000
Zn -0.900 1.559 2.287
Zn 1.800 0.000 2.287
Zn 2.689 4.657 2.287
Si 0.000 0.000 0.000
Si 0.000 4.144 2.287
Si 3.589 2.072 2.287



[25]
! Sr3Zn2Si4 | OQMD via LeMat-Bulk | PBE-GGA | relaxed; values from VASP
! Electronic total energy, eV per atom: -3.695
! Volume, Å³ per atom: 23.5
&SYSTEM
  ibrav = 0, nat = 9, ntyp = 3
/
ATOMIC_SPECIES
Sr 87.62 Sr.upf
Zn 65.41 Zn.upf
Si 28.09 Si.upf
CELL_PARAMETERS angstrom
5.874 -2.113 0.000
5.874 2.113 0.000
-0.770 0.000 8.532
ATOMIC_POSITIONS angstrom
Sr 0.000 0.000 0.000
Sr 3.707 0.000 2.817
Sr 7.272 0.000 5.715
Zn 4.000 0.000 6.114
Zn 6.979 0.000 2.418
Si 0.377 0.000 3.336
Si 2.574 0.000 8.074
Si 8.404 0.000 0.457
Si 10.601 0.000 5.196



[26]
! SrZnSi | OQMD via LeMat-Bulk | PBE-GGA | relaxed; values from VASP
! Electronic total energy, eV per atom: -2.737
! Volume, Å³ per atom: 23.8
&SYSTEM
  ibrav = 0, nat = 6, ntyp = 3
/
ATOMIC_SPECIES
Sr 87.62 Sr.upf
Zn 65.41 Zn.upf
Si 28.09 Si.upf
CELL_PARAMETERS angstrom
5.122 0.000 0.000
-2.561 4.436 0.000
0.000 0.000 6.278
ATOMIC_POSITIONS angstrom
Sr 0.000 2.957 1.570
Sr 2.561 1.479 4.709
Zn 0.000 0.000 0.000
Zn 0.000 0.000 3.139
Si 0.000 2.957 4.709
Si 2.561 1.479 1.570



[27]
! SrZnSi | OQMD via LeMat-Bulk | PBE-GGA | relaxed; values from VASP
! Electronic total energy, eV per atom: -2.931
! Volume, Å³ per atom: 25.8
&SYSTEM
  ibrav = 0, nat = 3, ntyp = 3
/
ATOMIC_SPECIES
Sr 87.62 Sr.upf
Zn 65.41 Zn.upf
Si 28.09 Si.upf
CELL_PARAMETERS angstrom
0.000 3.382 3.382
3.382 0.000 3.382
3.382 3.382 0.000
ATOMIC_POSITIONS angstrom
Sr 0.000 0.000 0.000
Zn 3.382 3.382 3.382
Si 1.691 1.691 1.691



[28]
! Sr2ZnSi | OQMD via LeMat-Bulk | PBE-GGA | relaxed; values from VASP
! Electronic total energy, eV per atom: -2.334
! Volume, Å³ per atom: 27.4
&SYSTEM
  ibrav = 0, nat = 4, ntyp = 3
/
ATOMIC_SPECIES
Sr 87.62 Sr.upf
Zn 65.41 Zn.upf
Si 28.09 Si.upf
CELL_PARAMETERS angstrom
0.000 3.797 3.797
3.797 0.000 3.797
3.797 3.797 0.000
ATOMIC_POSITIONS angstrom
Sr 0.000 0.000 0.000
Sr 1.899 1.899 1.899
Zn 5.696 5.696 5.696
Si 3.797 3.797 3.797